[1]
This record from Alexandria describes a relaxed structure of KTiSn2. The functional is PBE.

Lattice parameters (Å, degrees): 5.248 5.248 5.248 60.00 60.00 60.00
Sites, in units of the cell vectors:
Sn  0.250  0.250  0.250
Ti  0.500  0.500  0.500
K  0.000  0.000  0.000
Sn  0.750  0.750  0.750

ΔH_f (0 K)	0.993	eV per formula unit
energy	-0.147	hartree per atom
space-group type	No. 225
DOS(E_F)	7.2	states/eV per cell



[2]
This record from Alexandria describes a relaxed structure of BaCaI2O. The functional is PBE.

Lattice parameters (Å, degrees): 6.180 6.180 4.341 90.00 90.00 90.00
Sites, in units of the cell vectors:
Ca  0.000  0.000  0.000
I  0.000  0.500  0.000
I  0.500  0.000  0.000
Ba  0.500  0.500  0.500
O  0.000  0.000  0.500

energy	-0.149	hartree per atom
space-group type	No. 123
DOS(E_F)	1.3	states/eV per cell
raw formation energy	-1655	meV/atom



[3]
This record from Alexandria describes a relaxed structure of ZrBePb2. The functional is PBE.

Lattice parameters (Å, degrees): 9.128 9.128 9.128 21.52 21.52 21.52
Sites, in units of the cell vectors:
Pb  0.012  0.012  0.012
Zr  0.250  0.250  0.250
Pb  0.488  0.488  0.488
Be  0.750  0.750  0.750

ΔH_f (0 K)	1.287	eV per formula unit
energy	-0.169	hartree per atom
space-group type	No. 166
DOS(E_F)	1.0	states/eV per cell



[4]
This record from Alexandria describes a relaxed structure of KPmIr4. The functional is PBE.

Lattice parameters (Å, degrees): 5.427 5.427 5.427 60.00 60.00 60.00
Sites, in units of the cell vectors:
Ir  0.125  0.625  0.625
Pm  0.250  0.250  0.250
Ir  0.625  0.625  0.125
Ir  0.625  0.625  0.625
K  0.000  0.000  0.000
Ir  0.625  0.125  0.625

ΔH_f (0 K)	-0.687	eV per formula unit
energy	-0.257	hartree per atom
space-group type	No. 216
DOS(E_F)	6.7	states/eV per cell



[5]
This record from Alexandria describes a relaxed structure of PmErHg. The functional is PBE.

Lattice parameters (Å, degrees): 3.783 8.857 8.857 120.00 90.00 90.00
Sites, in units of the cell vectors:
Er  0.000  0.000  0.275
Er  0.000  0.725  0.725
Hg  0.000  0.333  0.667
Er  0.000  0.275  0.000
Hg  0.500  0.000  0.000
Pm  0.500  0.391  0.391
Pm  0.500  0.000  0.609
Hg  0.000  0.667  0.333
Pm  0.500  0.609  0.000

ΔH_f (0 K)	-0.853	eV per formula unit
energy	-0.128	hartree per atom
space-group type	No. 189
DOS(E_F)	13.1	states/eV per cell